(1)
First-principles (PBE) data for Li2PrAuO4 after structural relaxation, as listed in Alexandria via LeMat-Bulk.

Geometry as POSCAR:
```
Li2PrAuO4
1.0
5.008 0.255 0.368
-2.188 4.512 -0.368
-2.188 -1.924 4.098
Li Pr Au O
2 1 1 4
Direct
0.500 0.750 0.250 Li
0.500 0.250 0.750 Li
0.000 0.000 0.000 Pr
0.000 0.500 0.500 Au
0.000 0.062 0.529 O
0.532 0.471 0.471 O
0.468 0.938 0.938 O
0.000 0.529 0.062 O
```

## Properties
energy relative to the elements, uncorrected = -35.436 kcal/mol of atoms
ρ = 7.1 g/cm³
DOS(E_F) = 0.284 states/eV/atom
V = 97 Å³ per cell
SG = No. 121



(2)
First-principles (PBE) data for U3Co2P4 after structural relaxation, as listed in Alexandria via LeMat-Bulk.

Geometry as POSCAR:
```
U3Co2P4
1.0
3.958 0.000 0.000
-1.979 4.878 -1.094
0.000 0.210 7.595
U Co P
3 2 4
Direct
0.662 0.325 0.675 U
0.000 0.000 0.000 U
0.338 0.675 0.325 U
0.609 0.217 0.290 Co
0.391 0.783 0.710 Co
0.718 0.435 0.064 P
0.282 0.565 0.936 P
0.934 0.867 0.610 P
0.066 0.133 0.390 P
```

## Properties
energy of formation from the pure elements = -746 meV per atom
ρ = 10.8 g/cm³
DOS(E_F) = 1.739 states/eV/atom
V = 148 Å³ per cell
SG = No. 12